SmDy3Ru3: relaxed, PBE-GGA.

a b c (Å): 5.8707 5.8707 5.8707
angles (deg): 109.55 109.55 109.55
Element x y z (fractional)
1 Sm 0.0000 0.0000 0.0000
2 Dy 0.1726 0.5868 0.5868
3 Dy 0.5868 0.1726 0.5868
4 Dy 0.5868 0.5868 0.1726
5 Ru 0.0879 0.0879 0.5872
6 Ru 0.0879 0.5872 0.0879
7 Ru 0.5872 0.0879 0.0879

Energy of formation, eV per atom: -0.3270
Raw total energy, eV per atom: -6.95
Symmetry: No. 160